# Ag2Cl, single point on PBEsol structure, DFT SCAN
data_Ag2Cl
_cell_length_a 3.1200
_cell_length_b 6.2617
_cell_length_c 6.2134
_cell_angle_alpha 110.71
_cell_angle_beta 90.00
_cell_angle_gamma 104.43
_symmetry_space_group_name_H-M 'P 1'
_symmetry_Int_Tables_number 1
loop_
_symmetry_equiv_pos_as_xyz
'x,y,z'
loop_
_atom_site_label
_atom_site_fract_x
_atom_site_fract_y
_atom_site_fract_z
Ag1 0.6775 0.3550 0.6002
Ag2 0.3372 0.6745 0.9561
Ag3 0.3225 0.6450 0.3998
Ag4 0.6628 0.3255 0.0439
Cl1 0.0340 0.0680 0.2706
Cl2 0.9660 0.9320 0.7294
# * crystal system: monoclinic
# * total magnetic moment: 0.000 μB per formula unit
# * formation energy without anion corrections: -0.168 eV/atom
# * distance to the lowest polymorph of the same formula: 119 meV per atom

# TaSbIr2, single point on PBEsol structure, DFT SCAN
data_TaSbIr2
_cell_length_a 2.9796
_cell_length_b 4.1466
_cell_length_c 5.4242
_cell_angle_alpha 90.00
_cell_angle_beta 90.00
_cell_angle_gamma 90.00
_symmetry_space_group_name_H-M 'P 1'
_symmetry_Int_Tables_number 1
loop_
_symmetry_equiv_pos_as_xyz
'x,y,z'
loop_
_atom_site_label
_atom_site_fract_x
_atom_site_fract_y
_atom_site_fract_z
Ir1 0.0000 0.0000 0.9686
Ir2 0.5000 0.5000 0.2826
Sb1 0.0000 0.0000 0.4623
Ta1 0.5000 0.5000 0.7865
# * crystal system: orthorhombic
# * total magnetic moment: 0.000 μB per formula unit
# * formation energy without anion corrections: -0.040 eV/atom

# NaZrB2, single point on PBEsol structure, DFT SCAN
data_NaZrB2
_cell_length_a 4.1803
_cell_length_b 4.1803
_cell_length_c 4.1803
_cell_angle_alpha 60.00
_cell_angle_beta 60.00
_cell_angle_gamma 60.00
_symmetry_space_group_name_H-M 'P 1'
_symmetry_Int_Tables_number 1
loop_
_symmetry_equiv_pos_as_xyz
'x,y,z'
loop_
_atom_site_label
_atom_site_fract_x
_atom_site_fract_y
_atom_site_fract_z
Na1 0.0000 0.0000 0.0000
B1 0.2500 0.2500 0.2500
B2 0.7500 0.7500 0.7500
Zr1 0.5000 0.5000 0.5000
# * crystal system: cubic
# * total magnetic moment: 0.000 μB per formula unit
# * E_tot: -11.7271 eV/atom

# Cd2AgPC, single point on PBEsol structure, DFT SCAN
data_Cd2AgPC
_cell_length_a 4.6017
_cell_length_b 4.9864
_cell_length_c 4.9864
_cell_angle_alpha 90.00
_cell_angle_beta 90.00
_cell_angle_gamma 90.00
_symmetry_space_group_name_H-M 'P 1'
_symmetry_Int_Tables_number 1
loop_
_symmetry_equiv_pos_as_xyz
'x,y,z'
loop_
_atom_site_label
_atom_site_fract_x
_atom_site_fract_y
_atom_site_fract_z
P1 0.0000 0.0000 0.0000
C1 0.5000 0.5000 0.5000
Ag1 0.5000 0.0000 0.0000
Cd1 0.0000 0.0000 0.5000
Cd2 0.0000 0.5000 0.0000
# * crystal system: tetragonal
# * total magnetic moment: 2.297 μB per formula unit
# * E_tot: -21.0974 eV/atom

# CaCdNF2, single point on PBEsol structure, DFT SCAN
data_CaCdNF2
_cell_length_a 4.2362
_cell_length_b 4.3183
_cell_length_c 4.3183
_cell_angle_alpha 90.00
_cell_angle_beta 90.00
_cell_angle_gamma 90.00
_symmetry_space_group_name_H-M 'P 1'
_symmetry_Int_Tables_number 1
loop_
_symmetry_equiv_pos_as_xyz
'x,y,z'
loop_
_atom_site_label
_atom_site_fract_x
_atom_site_fract_y
_atom_site_fract_z
N1 0.5000 0.0000 0.0000
Ca1 0.5000 0.5000 0.5000
F1 0.0000 0.0000 0.5000
F2 0.0000 0.5000 0.0000
Cd1 0.0000 0.0000 0.0000
# * crystal system: tetragonal
# * total magnetic moment: 0.917 μB per formula unit
# * formation energy without anion corrections: -1.326 eV/atom

# La2NdMn6Si6, single point on PBEsol structure, DFT SCAN
data_La2NdMn6Si6
_cell_length_a 3.9473
_cell_length_b 3.9473
_cell_length_c 15.9034
_cell_angle_alpha 97.13
_cell_angle_beta 97.13
_cell_angle_gamma 90.00
_symmetry_space_group_name_H-M 'P 1'
_symmetry_Int_Tables_number 1
loop_
_symmetry_equiv_pos_as_xyz
'x,y,z'
loop_
_atom_site_label
_atom_site_fract_x
_atom_site_fract_y
_atom_site_fract_z
La1 0.3341 0.3341 0.6682
La2 0.6659 0.6659 0.3318
Nd1 0.0000 0.0000 0.0000
Mn1 0.4179 0.9179 0.8358
Mn2 0.7500 0.2500 0.5000
Mn3 0.0821 0.5821 0.1642
Mn4 0.9179 0.4179 0.8358
Mn5 0.2500 0.7500 0.5000
Mn6 0.5821 0.0821 0.1642
Si1 0.4588 0.4588 0.9176
Si2 0.7908 0.7908 0.5815
Si3 0.1230 0.1230 0.2460
Si4 0.8770 0.8770 0.7540
Si5 0.2092 0.2092 0.4185
Si6 0.5412 0.5412 0.0824
# * crystal system: tetragonal
# * total magnetic moment: 12.443 μB per formula unit
# * formation energy without anion corrections: -0.623 eV/atom

# ZnCo2Ni, single point on PBEsol structure, DFT SCAN
data_ZnCo2Ni
_cell_length_a 2.5057
_cell_length_b 2.5057
_cell_length_c 8.2019
_cell_angle_alpha 81.21
_cell_angle_beta 81.21
_cell_angle_gamma 60.00
_symmetry_space_group_name_H-M 'P 1'
_symmetry_Int_Tables_number 1
loop_
_symmetry_equiv_pos_as_xyz
'x,y,z'
loop_
_atom_site_label
_atom_site_fract_x
_atom_site_fract_y
_atom_site_fract_z
Ni1 0.4976 0.4976 0.5072
Zn1 0.2496 0.2496 0.2511
Co1 0.0038 0.0038 0.9887
Co2 0.7490 0.7490 0.7530
# * crystal system: trigonal
# * total magnetic moment: 4.029 μB per formula unit
# * E_tot: -16.0544 eV/atom

# BaMo2Se, single point on PBEsol structure, DFT SCAN
data_BaMo2Se
_cell_length_a 4.0657
_cell_length_b 4.0657
_cell_length_c 6.0163
_cell_angle_alpha 109.75
_cell_angle_beta 109.75
_cell_angle_gamma 90.00
_symmetry_space_group_name_H-M 'P 1'
_symmetry_Int_Tables_number 1
loop_
_symmetry_equiv_pos_as_xyz
'x,y,z'
loop_
_atom_site_label
_atom_site_fract_x
_atom_site_fract_y
_atom_site_fract_z
Ba1 0.0000 0.0000 0.0000
Mo1 0.7500 0.2500 0.5000
Mo2 0.2500 0.7500 0.5000
Se1 0.5000 0.5000 0.0000
# * crystal system: tetragonal
# * total magnetic moment: 1.690 μB per formula unit
# * formation energy without anion corrections: 1.111 eV/atom

# NiHg2P, single point on PBEsol structure, DFT SCAN
data_NiHg2P
_cell_length_a 3.9673
_cell_length_b 3.9673
_cell_length_c 5.1029
_cell_angle_alpha 112.88
_cell_angle_beta 112.88
_cell_angle_gamma 90.00
_symmetry_space_group_name_H-M 'P 1'
_symmetry_Int_Tables_number 1
loop_
_symmetry_equiv_pos_as_xyz
'x,y,z'
loop_
_atom_site_label
_atom_site_fract_x
_atom_site_fract_y
_atom_site_fract_z
Hg1 0.0000 0.0000 0.0000
Hg2 0.7500 0.2500 0.5000
Ni1 0.5000 0.5000 0.0000
P1 0.2500 0.7500 0.5000
# * crystal system: tetragonal
# * total magnetic moment: 0.000 μB per formula unit
# * E_tot: -40.1429 eV/atom

# Fe3RhN, single point on PBEsol structure, DFT SCAN
data_Fe3RhN
_cell_length_a 3.7714
_cell_length_b 3.7714
_cell_length_c 3.7714
_cell_angle_alpha 90.00
_cell_angle_beta 90.00
_cell_angle_gamma 90.00
_symmetry_space_group_name_H-M 'P 1'
_symmetry_Int_Tables_number 1
loop_
_symmetry_equiv_pos_as_xyz
'x,y,z'
loop_
_atom_site_label
_atom_site_fract_x
_atom_site_fract_y
_atom_site_fract_z
Rh1 0.0000 0.0000 0.0000
Fe1 0.0000 0.5000 0.5000
Fe2 0.5000 0.5000 0.0000
Fe3 0.5000 0.0000 0.5000
N1 0.5000 0.5000 0.5000
# * crystal system: cubic
# * total magnetic moment: 9.373 μB per formula unit
# * formation energy without anion corrections: -0.206 eV/atom

# TlHg4Se, single point on PBEsol structure, DFT SCAN
data_TlHg4Se
_cell_length_a 5.9809
_cell_length_b 5.9809
_cell_length_c 5.9809
_cell_angle_alpha 60.00
_cell_angle_beta 60.00
_cell_angle_gamma 60.00
_symmetry_space_group_name_H-M 'P 1'
_symmetry_Int_Tables_number 1
loop_
_symmetry_equiv_pos_as_xyz
'x,y,z'
loop_
_atom_site_label
_atom_site_fract_x
_atom_site_fract_y
_atom_site_fract_z
Hg1 0.3754 0.3754 0.3754
Hg2 0.3754 0.3754 0.8739
Hg3 0.8739 0.3754 0.3754
Hg4 0.3754 0.8739 0.3754
Se1 0.7500 0.7500 0.7500
Tl1 0.0000 0.0000 0.0000
# * crystal system: cubic
# * total magnetic moment: 0.001 μB per formula unit
# * formation energy without anion corrections: 0.124 eV/atom

# Ru2WSe, single point on PBEsol structure, DFT SCAN
data_Ru2WSe
_cell_length_a 2.8349
_cell_length_b 2.8349
_cell_length_c 8.5111
_cell_angle_alpha 80.41
_cell_angle_beta 80.41
_cell_angle_gamma 60.00
_symmetry_space_group_name_H-M 'P 1'
_symmetry_Int_Tables_number 1
loop_
_symmetry_equiv_pos_as_xyz
'x,y,z'
loop_
_atom_site_label
_atom_site_fract_x
_atom_site_fract_y
_atom_site_fract_z
Ru1 0.0005 0.0005 0.9986
Ru2 0.7527 0.7527 0.7419
Se1 0.4972 0.4972 0.5083
W1 0.2496 0.2496 0.2513
# * crystal system: trigonal
# * total magnetic moment: 0.000 μB per formula unit
# * formation energy without anion corrections: 0.389 eV/atom

Question: total magnetic moment of number 2 (TaSbIr2)?
Answer: 0.000 μB per formula unit